Version A
Entry from OQMD via LeMat-Bulk: crystalline SmPOsO at its relaxed geometry (PBE).

abc: 4.0225 4.0225 8.1486
angles: 90.00 90.00 90.00
Closest atoms and distances in Å follow each position.
Space group P4/nmm (No. 129, origin choice 2)
Unique sites:
Sm 0.2500 0.2500 0.1396 [2 per cell]  4 O 2.31
P 0.2500 0.2500 0.6495 [2 per cell]  4 Os 2.35
Os 0.2500 0.7500 0.5000 [2 per cell]  4 P 2.35
O 0.2500 0.7500 0.0000 [2 per cell]  4 Sm 2.31

=====

Version B
Entry from OQMD via LeMat-Bulk: crystalline SmPOsO at its relaxed geometry (PBE).

abc: 3.2453 7.6748 5.2387
angles: 90.00 90.00 90.00
Closest atoms and distances in Å follow each position.
Space group Pmc2_1 (No. 26)
Unique sites:
Sm 0.0000 0.1800 0.0000 [2 per cell]  4 O 2.43-2.57
P 0.0000 0.4305 0.4989 [2 per cell]  2 Os 2.26
Os 0.5000 0.2259 0.5002 [2 per cell]  2 O 2.17-2.18, 2 P 2.26
O 0.5000 0.0067 0.7659 [2 per cell]  2 Os 2.17-2.18

=====

Version C
Entry from OQMD via LeMat-Bulk: crystalline SmPOsO at its relaxed geometry (PBE).

abc: 4.3094 4.3094 6.7031
angles: 90.00 90.00 90.00
Closest atoms and distances in Å follow each position.
Space group P4/nmm (No. 129, origin choice 2)
Unique sites:
Sm 0.2500 0.7500 0.0000 [2 per cell]  4 P 2.88, 4 Sm 3.05
P 0.2500 0.2500 0.2855 [2 per cell]  1 Os 2.31
Os 0.2500 0.2500 0.6294 [2 per cell]  1 P 2.31, 4 O 2.32
O 0.2500 0.7500 0.5000 [2 per cell]  4 Os 2.32, 4 P 2.59

=====

Stability, highest: version A